Record 1
! GGA-PBE HfTi2IrN, relaxed; values from VASP
! crystal system	tetragonal
! raw formation energy	-1082	meV/atom
&SYSTEM
  ibrav = 0, nat = 5, ntyp = 4
/
ATOMIC_SPECIES
Ti 47.87 Ti.upf
Hf 178.49 Hf.upf
Ir 192.22 Ir.upf
N 14.01 N.upf
ATOMIC_POSITIONS angstrom
Ti 0.000 2.045 0.000
Ti 2.045 0.000 0.000
Hf 0.000 0.000 2.191
Ir 2.045 2.045 2.191
N 0.000 0.000 0.000
CELL_PARAMETERS angstrom
4.089 0.000 0.000
0.000 4.089 0.000
0.000 0.000 4.382

Record 2
! GGA-PBE Hf2VIrN, relaxed; values from VASP
! crystal system	tetragonal
! raw formation energy	-994	meV/atom
&SYSTEM
  ibrav = 0, nat = 5, ntyp = 4
/
ATOMIC_SPECIES
Hf 178.49 Hf.upf
Ir 192.22 Ir.upf
N 14.01 N.upf
V 50.94 V.upf
ATOMIC_POSITIONS angstrom
Hf 2.220 0.000 0.000
Hf 0.000 2.220 0.000
Ir 2.220 2.220 1.920
N 0.000 0.000 0.000
V 0.000 0.000 1.920
CELL_PARAMETERS angstrom
4.440 0.000 0.000
0.000 4.440 0.000
0.000 0.000 3.839